Pm2ThSb3 | Alexandria via LeMat-Bulk | PBE-GGA | relaxed; space group = Immm, No. 71; raw formation energy = -107.40 kJ per mole of atoms; DFT total energy = -5.99 eV/atom; density of states at the Fermi level = 2.2 states/eV/cell; volume = 193 Å³ per cell
1.0
-2.2535 3.1833 6.7268
2.2535 -3.1833 6.7268
2.2535 3.1833 -6.7268
Pm Th Sb
2 1 3
direct
0.1667 0.1667 0.0000
0.8333 0.8333 0.0000
0.5000 0.5000 0.0000
0.0000 0.5000 0.5000
0.3335 0.8335 0.5000
0.6665 0.1665 0.5000


Y12HgRh6 | Alexandria via LeMat-Bulk | PBE-GGA | relaxed; space group = Im-3, No. 204; DFT total energy = -7.00 eV/atom; density of states at the Fermi level = 19.5 states/eV/cell; volume = 485 Å³ per cell
1.0
-4.9501 4.9501 4.9501
4.9501 -4.9501 4.9501
4.9501 4.9501 -4.9501
Y Hg Rh
12 1 6
direct
0.1090 0.8098 0.2992
0.1902 0.2992 0.4893
0.1902 0.7008 0.8910
0.2992 0.1090 0.8098
0.2992 0.4893 0.1902
0.4893 0.1902 0.2992
0.5107 0.8098 0.7008
0.7008 0.5107 0.8098
0.7008 0.8910 0.1902
0.8098 0.2992 0.1090
0.8098 0.7008 0.5107
0.8910 0.1902 0.7008
0.0000 0.0000 0.0000
0.1287 0.6287 0.5000
0.3713 0.5000 0.8713
0.5000 0.1287 0.6287
0.5000 0.8713 0.3713
0.6287 0.5000 0.1287
0.8713 0.3713 0.5000


Q: Among the records above, which one has the lowest volume?
A: Pm2ThSb3


Q: What is the density of states at the Fermi level in the first record?
A: 2.2 states/eV/cell


Q: Look up the DFT total energy of the first one.
A: -5.99 eV/atom